Material: LiGdPt
Method: DFT, PBE-GGA
State: optimized geometry

Cell: 4.2942 4.2942 3.7462 Å, 90.00 90.00 120.00°
Closest atoms and distances in Å follow each position.
Fractional coordinates of all 3 atoms:
Li: 0.0000 0.0000 0.0000  3 Pt 2.48
Gd: 0.6667 0.3333 0.5000  6 Li 3.11, 6 Pt 3.11
Pt: 0.3333 0.6667 0.0000  3 Li 2.48

Output
electronic total energy = -8.089 eV/atom
magnetic moment = 7.2 μB per formula unit
formation energy from the elements = -743 meV per atom
N(E_F) = 1.8 states/eV per cell
energy above the lowest structure with this stoichiometry = 0.000 eV/atom